1.
A plane-wave DFT calculation with PBE-GGA was carried out for CeYRuI after structural relaxation.

Lattice parameters (Å, degrees): 4.034 4.034 8.376 103.91 103.91 60.00
Element x y z (fractional)
Ce (0.000, 0.000, 0.000)
Y (0.210, 0.210, 0.631)
Ru (0.613, 0.613, 0.841)
I (0.442, 0.442, 0.328)

N(E_F) (states/eV per atom): 1.0973
Symmetry: No. 8

***

2.
A plane-wave DFT calculation with PBE-GGA was carried out for CeSI after structural relaxation.

Lattice parameters (Å, degrees): 7.079 14.372 7.351 90.00 90.00 90.00
Element x y z (fractional)
Ce (0.242, 0.081, 0.029)
Ce (0.242, 0.419, 0.529)
Ce (0.258, 0.581, 0.029)
Ce (0.258, 0.919, 0.529)
Ce (0.742, 0.081, 0.471)
Ce (0.742, 0.419, 0.971)
Ce (0.758, 0.581, 0.471)
Ce (0.758, 0.919, 0.971)
S (0.001, 0.024, 0.742)
S (0.001, 0.476, 0.242)
S (0.499, 0.524, 0.742)
S (0.499, 0.976, 0.242)
S (0.501, 0.024, 0.758)
S (0.501, 0.476, 0.258)
S (0.999, 0.524, 0.758)
S (0.999, 0.976, 0.258)
I (0.171, 0.701, 0.400)
I (0.171, 0.799, 0.900)
I (0.329, 0.201, 0.400)
I (0.329, 0.299, 0.900)
I (0.671, 0.701, 0.100)
I (0.671, 0.799, 0.600)
I (0.829, 0.201, 0.100)
I (0.829, 0.299, 0.600)

N(E_F) (states/eV per atom): 2.4889
Symmetry: No. 61

***

3.
A plane-wave DFT calculation with PBE-GGA was carried out for CeSI2 after structural relaxation.

Lattice parameters (Å, degrees): 4.981 4.981 8.679 106.01 106.01 48.57
Element x y z (fractional)
Ce (0.000, 0.000, 0.000)
S (0.697, 0.697, 0.000)
I (0.333, 0.333, 0.717)
I (0.497, 0.497, 0.283)

N(E_F) (states/eV per atom): 0.1511
Symmetry: No. 8

***

4.
A plane-wave DFT calculation with PBE-GGA was carried out for CeSI after structural relaxation.

Lattice parameters (Å, degrees): 5.465 4.758 7.860 90.00 110.13 90.00
Element x y z (fractional)
Ce (0.162, 0.250, 0.334)
Ce (0.838, 0.750, 0.666)
S (0.281, 0.750, 0.543)
S (0.719, 0.250, 0.457)
I (0.212, 0.250, 0.921)
I (0.788, 0.750, 0.079)

N(E_F) (states/eV per atom): 2.5401
Symmetry: No. 11

***

VASP energy values, unit eV/atom, following the record order: -6.480, -5.569, -4.565, -5.548.